First-principles (PBE-GGA) data for a relaxed KP2SCl crystal, as listed in the Alexandria database.

a b c (Å): 6.948 6.948 5.680
angles (deg): 90.00 90.00 90.00
Space group P4/mmm (No. 123)
Unique sites:
K 0.000 0.000 0.000 (multiplicity 1)
P 0.000 0.500 0.000 (multiplicity 2)
S 0.500 0.500 0.500 (multiplicity 1)
Cl 0.000 0.000 0.500 (multiplicity 1)

## Properties
- ΔE to the lowest computed polymorph: 1326 meV per atom
- E_form (uncorrected): 6.8 eV per formula unit
- V: 54.841 A^3/atom